This record from Alexandria via LeMat-Bulk describes Sm5Ho2Er6 after structural relaxation. The functional is PBE.

Geometry as POSCAR:
```
Sm5Ho2Er6
1.0
-0.094 -1.661 3.154
11.574 -0.090 0.296
-0.102 18.018 9.487
Sm Er Ho
10 12 4
direct
0.500 0.416 0.728
0.500 0.500 0.000
0.500 0.584 0.272
0.500 0.916 0.772
0.500 0.801 0.050
0.500 0.301 0.450
0.500 0.699 0.550
0.500 0.000 0.500
0.500 0.199 0.950
0.500 0.084 0.228
0.500 0.675 0.862
0.000 0.919 0.631
0.000 0.061 0.082
0.000 0.439 0.582
0.000 0.419 0.869
0.000 0.081 0.369
0.000 0.939 0.918
0.500 0.825 0.362
0.500 0.175 0.638
0.000 0.581 0.131
0.500 0.325 0.138
0.000 0.561 0.418
0.000 0.671 0.710
0.000 0.829 0.210
0.000 0.171 0.790
0.000 0.329 0.290
```

size of the total moment	0.00	μB per cell
density	8.24	g/cm3
symmetry	Pbam
crystal system	orthorhombic
E_form	96	meV per atom